No. 1
A plane-wave DFT calculation with PBEsol was carried out for a relaxed MgN2O2 crystal.

The space group is P4/mmm (No. 123) and the conventional cell measures 4.3203, 4.3203 and 3.8565 Å, with angles of 90.00, 90.00 and 90.00 degrees. The distinct sites, in fractional coordinates, are Mg at (0.0000, 0.0000, 0.0000), N at (0.0000, 0.5000, 0.0000), O at (0.0000, 0.0000, 0.5000) and O at (0.5000, 0.5000, 0.5000).

The value obtained for the energy is -3.93 eV per atom.

***

No. 2
A plane-wave DFT calculation with PBEsol was carried out for a relaxed SrMgP3N5O2 crystal.

The space group is P2_1/c (No. 14) and the conventional cell measures 6.9315, 6.6243 and 13.9226 Å, with angles of 90.00, 118.31 and 90.00 degrees. The distinct sites, in fractional coordinates, are Sr at (0.0202, 0.2451, 0.3948), Mg at (0.4794, 0.0056, 0.1150), P at (0.2231, 0.2414, 0.7107), P at (0.2408, 0.7254, 0.9110), P at (0.4345, 0.5174, 0.1189), N at (0.0153, 0.7009, 0.7974), N at (0.2260, 0.5836, 0.0024), N at (0.3216, 0.0233, 0.6969), N at (0.3916, 0.2042, 0.3389), N at (0.4509, 0.6895, 0.8910), O at (0.2107, 0.0900, 0.1296) and O at (0.2781, 0.5479, 0.4495).

The value obtained for the energy is -7.66 eV per atom.

***

No. 3
A plane-wave DFT calculation with PBEsol was carried out for a relaxed MgScNO2 crystal.

The space group is P4/mmm (No. 123) and the conventional cell measures 3.7509, 3.7509 and 3.8659 Å, with angles of 90.00, 90.00 and 90.00 degrees. The distinct sites, in fractional coordinates, are Mg at (0.0000, 0.0000, 0.0000), Sc at (0.5000, 0.5000, 0.5000), N at (0.0000, 0.0000, 0.5000) and O at (0.0000, 0.5000, 0.0000).

The value obtained for the energy is -6.51 eV per atom.

***

No. 4
A plane-wave DFT calculation with PBEsol was carried out for a relaxed MgSeN2O crystal.

The space group is P4/mmm (No. 123) and the conventional cell measures 3.7204, 3.7204 and 3.8602 Å, with angles of 90.00, 90.00 and 90.00 degrees. The distinct sites, in fractional coordinates, are Mg at (0.0000, 0.0000, 0.0000), Se at (0.5000, 0.5000, 0.5000), N at (0.0000, 0.5000, 0.5000) and O at (0.5000, 0.5000, 0.0000).

The value obtained for the energy is -5.10 eV per atom.

***

No. 5
A plane-wave DFT calculation with PBEsol was carried out for a relaxed MgTiN2O crystal.

The space group is P4/mmm (No. 123) and the conventional cell measures 3.8849, 3.8849 and 3.8312 Å, with angles of 90.00, 90.00 and 90.00 degrees. The distinct sites, in fractional coordinates, are Mg at (0.0000, 0.0000, 0.0000), Ti at (0.5000, 0.5000, 0.5000), N at (0.0000, 0.5000, 0.5000) and O at (0.5000, 0.5000, 0.0000).

The value obtained for the energy is -7.20 eV per atom.

***

No. 6
A plane-wave DFT calculation with PBEsol was carried out for a relaxed MgTlNO2 crystal.

The space group is P4/mmm (No. 123) and the conventional cell measures 3.8916, 3.8916 and 4.1734 Å, with angles of 90.00, 90.00 and 90.00 degrees. The distinct sites, in fractional coordinates, are Mg at (0.0000, 0.0000, 0.0000), Tl at (0.5000, 0.5000, 0.5000), N at (0.0000, 0.0000, 0.5000) and O at (0.0000, 0.5000, 0.0000).

The value obtained for the energy is -4.66 eV per atom.

***

No. 7
A plane-wave DFT calculation with PBEsol was carried out for a relaxed MgOs2N crystal.

The space group is Fm-3m (No. 225) and the conventional cell measures 5.8423, 5.8423 and 5.8423 Å, with angles of 90.00, 90.00 and 90.00 degrees. The distinct sites, in fractional coordinates, are Mg at (0.0000, 0.0000, 0.0000), Os at (0.2500, 0.2500, 0.2500) and N at (0.0000, 0.0000, 0.5000).

The value obtained for the energy is -7.02 eV per atom.

***

No. 8
A plane-wave DFT calculation with PBEsol was carried out for a relaxed MgOsSe2N crystal.

The space group is P4/mmm (No. 123) and the conventional cell measures 4.8707, 4.8707 and 3.6510 Å, with angles of 90.00, 90.00 and 90.00 degrees. The distinct sites, in fractional coordinates, are Mg at (0.0000, 0.0000, 0.0000), Os at (0.5000, 0.5000, 0.5000), Se at (0.0000, 0.5000, 0.0000) and N at (0.0000, 0.0000, 0.5000).

The value obtained for the energy is -4.55 eV per atom.

***

No. 9
A plane-wave DFT calculation with PBEsol was carried out for a relaxed MgSi2PN crystal.

The space group is P4/mmm (No. 123) and the conventional cell measures 4.9128, 4.9128 and 4.6180 Å, with angles of 90.00, 90.00 and 90.00 degrees. The distinct sites, in fractional coordinates, are Mg at (0.0000, 0.0000, 0.0000), Si at (0.0000, 0.5000, 0.0000), P at (0.0000, 0.0000, 0.5000) and N at (0.5000, 0.5000, 0.5000).

The value obtained for the energy is -3.41 eV per atom.

***

No. 10
A plane-wave DFT calculation with PBEsol was carried out for a relaxed MgTePN2 crystal.

The space group is P4/mmm (No. 123) and the conventional cell measures 3.9905, 3.9905 and 6.1185 Å, with angles of 90.00, 90.00 and 90.00 degrees. The distinct sites, in fractional coordinates, are Mg at (0.0000, 0.0000, 0.0000), Te at (0.0000, 0.0000, 0.5000), P at (0.5000, 0.5000, 0.5000) and N at (0.0000, 0.5000, 0.0000).

The value obtained for the energy is -4.13 eV per atom.

***

No. 11
A plane-wave DFT calculation with PBEsol was carried out for a relaxed MgPbN3 crystal.

The space group is Pm-3m (No. 221) and the conventional cell measures 4.2753, 4.2753 and 4.2753 Å, with angles of 90.00, 90.00 and 90.00 degrees. The distinct sites, in fractional coordinates, are Mg at (0.0000, 0.0000, 0.0000), Pb at (0.5000, 0.5000, 0.5000) and N at (0.0000, 0.5000, 0.5000).

The value obtained for the energy is -4.53 eV per atom.

***

No. 12
A plane-wave DFT calculation with PBEsol was carried out for a relaxed MgPbSeN2 crystal.

The space group is P4/mmm (No. 123) and the conventional cell measures 4.2333, 4.2333 and 5.7416 Å, with angles of 90.00, 90.00 and 90.00 degrees. The distinct sites, in fractional coordinates, are Mg at (0.0000, 0.0000, 0.0000), Pb at (0.5000, 0.5000, 0.5000), Se at (0.5000, 0.5000, 0.0000) and N at (0.0000, 0.5000, 0.5000).

The value obtained for the energy is -4.14 eV per atom.